Record 1
# NpMo2W

NpMo2W after structural relaxation (PBE-GGA, Alexandria via LeMat-Bulk).

abc: 3.216 3.216 6.725
angles: 90.00 90.00 90.00
Each line ends with the local moment (μB).
Fractional coordinates of all 4 atoms:
Np1 0.500 0.500 0.500  2.99
Mo1 0.000 0.000 0.765  -0.08
Mo2 0.000 0.000 0.235  -0.08
W1 0.500 0.500 0.000  0.02

Results
Energy of formation (eV per atom): 0.29
D(E_F) (states/eV per atom): 1.13

=====

Record 2
# In2SeI8

In2SeI8 after structural relaxation (PBE-GGA, Alexandria via LeMat-Bulk).

abc: 7.439 9.091 9.091
angles: 72.68 78.37 78.37
Each line ends with the local moment (μB).
Fractional coordinates of all 11 atoms:
In1 0.663 0.810 0.810  0.00
In2 0.337 0.190 0.190  0.00
Se1 0.000 0.000 0.000  0.74
I1 0.235 0.898 0.310  0.14
I2 0.235 0.310 0.898  0.14
I3 0.765 0.102 0.690  0.14
I4 0.232 0.382 0.382  0.00
I5 0.765 0.690 0.102  0.14
I6 0.268 0.827 0.827  0.01
I7 0.732 0.173 0.173  0.01
I8 0.768 0.618 0.618  0.00

Results
Formation energy (no corrections) (eV/f.u.): -2.6

=====

Record 3
# TbMoN2

TbMoN2 after structural relaxation (PBE-GGA, Alexandria via LeMat-Bulk).

abc: 3.223 5.733 10.634
angles: 90.00 90.00 90.00
Fractional coordinates of all 16 atoms:
Tb1 0.750 0.078 0.146
Tb2 0.250 0.922 0.854
Tb3 0.750 0.578 0.354
Tb4 0.250 0.422 0.646
Mo1 0.250 0.566 0.093
Mo2 0.250 0.066 0.407
Mo3 0.750 0.434 0.907
Mo4 0.750 0.934 0.593
N1 0.750 0.256 0.492
N2 0.250 0.744 0.508
N3 0.750 0.756 0.008
N4 0.250 0.244 0.992
N5 0.750 0.165 0.750
N6 0.250 0.335 0.250
N7 0.750 0.665 0.750
N8 0.250 0.835 0.250

Results
Formation energy (no corrections) (eV/f.u.): -4.5
D(E_F) (states/eV per atom): 0.17

=====

Record 4
# TbZn4Pd2

TbZn4Pd2 after structural relaxation (PBE-GGA, Alexandria via LeMat-Bulk).

abc: 4.276 7.507 7.507
angles: 90.00 90.00 90.00
Fractional coordinates of all 14 atoms:
Tb1 0.500 0.000 0.000
Tb2 0.000 0.500 0.500
Zn1 0.000 0.099 0.354
Zn2 0.000 0.901 0.646
Zn3 0.500 0.146 0.599
Zn4 0.500 0.854 0.401
Zn5 0.500 0.401 0.854
Zn6 0.500 0.599 0.146
Zn7 0.000 0.354 0.099
Zn8 0.000 0.646 0.901
Pd1 0.000 0.217 0.783
Pd2 0.000 0.783 0.217
Pd3 0.500 0.717 0.717
Pd4 0.500 0.283 0.283

Results
Energy of formation (eV per atom): -0.54
D(E_F) (states/eV per atom): 0.35

=====

Record 5
# Pr12Y6Er

Pr12Y6Er after structural relaxation (PBE-GGA, Alexandria via LeMat-Bulk).

abc: 9.905 9.905 9.905
angles: 110.95 110.95 110.95
Fractional coordinates of all 19 atoms:
Pr1 0.891 0.109 0.500
Pr2 0.261 0.002 0.261
Pr3 0.261 0.261 0.002
Pr4 0.998 0.739 0.739
Pr5 0.739 0.739 0.998
Pr6 0.739 0.998 0.739
Pr7 0.500 0.891 0.109
Pr8 0.109 0.500 0.891
Pr9 0.109 0.891 0.500
Pr10 0.500 0.109 0.891
Pr11 0.891 0.500 0.109
Pr12 0.002 0.261 0.261
Y1 0.649 0.275 0.649
Y2 0.649 0.649 0.275
Y3 0.275 0.649 0.649
Y4 0.351 0.351 0.725
Y5 0.351 0.725 0.351
Y6 0.725 0.351 0.351
Er1 0.000 0.000 0.000

Results
Energy of formation (eV per atom): 0.40
D(E_F) (states/eV per atom): 2.04

=====

Record 6
# KBeRuBr2

KBeRuBr2 after structural relaxation (PBE-GGA, Alexandria via LeMat-Bulk).

abc: 5.300 4.285 5.300
angles: 90.00 90.00 90.00
Each line ends with the local moment (μB).
Fractional coordinates of all 5 atoms:
Ru1 0.000 0.000 0.000  0.41
K1 0.500 0.500 0.500  0.00
Br1 0.000 0.000 0.500  0.01
Br2 0.500 0.000 0.000  0.00
Be1 0.000 0.500 0.000  -0.02

Results
Formation energy (no corrections) (eV/f.u.): -0.5
D(E_F) (states/eV per atom): 0.70

=====

Record 7
# La2Ce3DySe6

La2Ce3DySe6 after structural relaxation (PBE-GGA, Alexandria via LeMat-Bulk).

abc: 7.304 7.304 7.333
angles: 99.58 99.58 120.03
Each line ends with the local moment (μB).
Fractional coordinates of all 12 atoms:
La1 0.334 0.666 0.000  0.01
La2 0.666 0.334 0.000  0.01
Ce1 0.171 0.829 0.500  0.83
Ce2 0.829 0.171 0.500  0.83
Ce3 0.500 0.500 0.500  0.83
Dy1 0.000 0.000 0.000  -0.01
Se1 0.918 0.595 0.751  -0.01
Se2 0.762 0.762 0.253  -0.01
Se3 0.082 0.405 0.249  -0.01
Se4 0.595 0.918 0.751  -0.01
Se5 0.238 0.238 0.747  -0.01
Se6 0.405 0.082 0.249  -0.01

Results
Formation energy (no corrections) (eV/f.u.): -22.4
D(E_F) (states/eV per atom): 1.69

=====

Record 8
# BaLaY2

BaLaY2 after structural relaxation (PBE-GGA, Alexandria via LeMat-Bulk).

abc: 5.109 5.469 5.469
angles: 90.00 90.00 90.00
Fractional coordinates of all 4 atoms:
Ba1 0.500 0.500 0.000
La1 0.500 0.000 0.500
Y1 0.000 0.000 0.000
Y2 0.000 0.500 0.500

Results
Energy of formation (eV per atom): 0.23
D(E_F) (states/eV per atom): 2.15

=====

| no. | calculated density (g/cm³) |
| --- | --- |
| 1 | 14.63 |
| 2 | 3.87 |
| 3 | 9.56 |
| 4 | 8.73 |
| 5 | 5.64 |
| 6 | 4.26 |
| 7 | 6.94 |
| 8 | 4.93 |